The following is a PBE-GGA calculation of a relaxed BaGaAg5 crystal, from Alexandria.

Results
ΔE_f = -0.134 eV/atom

abc: 5.924 9.194 11.411
angles: 90.00 90.00 90.00
Sites, in units of the cell vectors:
Ga  0.750  0.156  0.143
Ga  0.250  0.344  0.643
Ga  0.250  0.844  0.857
Ga  0.750  0.656  0.357
Ag  0.250  0.099  0.482
Ag  0.992  0.435  0.195
Ag  0.250  0.422  0.414
Ag  0.250  0.679  0.264
Ag  0.492  0.065  0.695
Ag  0.750  0.321  0.736
Ag  0.750  0.078  0.914
Ag  0.250  0.599  0.018
Ag  0.750  0.901  0.518
Ag  0.750  0.578  0.586
Ag  0.508  0.935  0.305
Ag  0.750  0.821  0.764
Ag  0.250  0.179  0.236
Ag  0.992  0.935  0.305
Ag  0.008  0.065  0.695
Ag  0.492  0.565  0.805
Ag  0.008  0.565  0.805
Ag  0.750  0.401  0.982
Ag  0.250  0.922  0.086
Ag  0.508  0.435  0.195
Ba  0.750  0.261  0.437
Ba  0.250  0.739  0.563
Ba  0.250  0.239  0.937
Ba  0.750  0.761  0.063